[1]
NaTl2Ir2: relaxed, GGA-PBE.

Computed properties:
Its energy relative to the elements is 304 meV/atom.

```
NaTl2Ir2
1.0
3.686 0.000 0.000
0.000 3.686 0.000
1.843 1.843 8.924
Tl Ir Na
2 2 1
Cartesian
1.843 1.843 2.208
3.686 3.686 6.716
3.686 1.843 4.462
1.843 3.686 4.462
0.000 0.000 0.000
```

---

[2]
NpTe3PbAu: relaxed, GGA-PBE.

Computed properties:
The value obtained for the uncorrected formation energy is -2.29 eV per formula unit.

```
NpTe3PbAu
1.0
-2.293 -0.044 -3.711
1.913 -8.794 -1.077
-8.443 0.400 5.212
Pb Au Np Te
2 2 2 6
Cartesian
-6.582 -6.799 0.302
-2.241 -1.639 0.122
-3.468 -7.867 -1.609
-5.355 -0.571 2.033
-0.738 -5.930 -0.755
-8.084 -2.508 1.179
-6.610 -4.675 2.858
-5.502 -2.079 -0.422
-3.321 -6.359 0.846
-1.064 -7.960 -3.094
-2.212 -3.763 -2.434
-7.759 -0.479 3.518
```

---

[3]
Dy2FeC4: relaxed, GGA-PBE.

Computed properties:
Its energy relative to the elements is -293 meV/atom.

```
Dy2FeC4
1.0
-2.520 3.735 4.820
2.520 -3.735 4.820
2.520 3.735 -4.820
Fe C Dy
2 8 4
Cartesian
3.780 0.000 0.000
1.260 0.000 0.000
0.000 1.217 6.059
0.000 2.518 1.239
2.520 1.217 3.582
0.000 1.231 0.753
2.520 2.518 -1.239
2.520 1.231 -0.753
0.000 2.504 5.574
2.520 2.504 4.067
0.000 1.174 3.430
0.000 4.909 1.391
2.520 2.562 1.391
2.520 -1.174 3.430
```

---

[4]
Tb2Tl3CuSe6: relaxed, GGA-PBE.

Computed properties:
The value obtained for the uncorrected formation energy is -10.73 eV per formula unit.

```
Tb2Tl3CuSe6
1.0
7.088 0.098 -0.081
-3.457 6.188 -0.081
-1.295 -2.243 7.543
Tb Cu Se Tl
2 1 6 3
Cartesian
0.106 4.130 -0.081
3.524 2.156 -0.081
0.000 0.000 0.000
-0.029 -0.050 5.699
3.383 2.198 5.997
2.364 4.093 1.682
-1.048 1.845 1.384
0.213 4.028 5.997
2.122 0.014 1.384
-2.188 3.959 3.691
1.167 2.021 3.691
4.523 0.084 3.691
```

---

[5]
NaHoCdAg: relaxed, GGA-PBE.

Computed properties:
Its energy relative to the elements is -90 meV/atom.

```
NaHoCdAg
1.0
-3.565 3.176 1.874
-4.643 0.210 -2.169
-4.075 -1.892 2.474
Ag Na Ho Cd
1 1 1 1
Cartesian
-3.071 0.374 0.545
0.000 0.000 0.000
-6.141 0.747 1.090
-9.212 1.121 1.635
```

---

[6]
Nd2Pb3: relaxed, GGA-PBE.

Computed properties:
Its energy relative to the elements is -463 meV/atom.

```
Nd2Pb3
1.0
-3.477 -2.395 -1.660
5.320 -5.825 -2.736
-0.687 -4.043 7.273
Pb Nd
6 4
Cartesian
4.203 -7.617 2.189
1.377 -5.685 5.321
2.317 -4.934 2.268
3.256 -4.183 -0.784
0.000 0.000 0.000
0.430 -2.251 2.348
2.426 -7.315 -0.725
-0.131 -3.798 -0.444
1.287 -8.466 3.321
-1.270 -4.948 3.601
```

---

[7]
Al3SnPd: relaxed, GGA-PBE.

Computed properties:
Its energy relative to the elements is -4 meV/atom.

```
Al3SnPd
1.0
-4.172 -2.316 -0.356
0.500 -1.590 4.485
-2.290 3.874 1.629
Al Pd Sn
3 1 1
Cartesian
-2.086 -1.158 -0.178
0.250 -0.795 2.243
-1.145 1.937 0.814
0.000 0.000 0.000
-2.981 -0.016 2.879
```

---

[8]
PaMoH: relaxed, GGA-PBE.

```
PaMoH
1.0
3.415 0.000 0.000
0.000 3.415 0.000
-1.707 -1.707 4.248
H Pa Mo
1 1 1
Cartesian
0.000 0.000 2.085
1.707 1.707 1.981
0.000 0.000 0.182
```

---

[9]
CsCaRe2Tc: relaxed, GGA-PBE.

Computed properties:
Its energy relative to the elements is 1715 meV/atom.

```
CsCaRe2Tc
1.0
-2.433 -0.546 -4.113
3.368 -4.300 -1.421
-2.997 -3.067 2.179
Re Cs Ca Tc
2 1 1 1
Cartesian
-1.498 -1.534 1.090
-1.216 -0.273 -2.057
1.684 -2.150 -0.711
-1.031 -3.956 -1.678
0.000 0.000 0.000
```

---

[10]
La4RhI5: relaxed, GGA-PBE.

Computed properties:
The value obtained for the uncorrected formation energy is -12.65 eV per formula unit.

```
La4RhI5
1.0
-2.196 -3.661 0.288
2.455 -2.161 -8.771
8.474 -2.158 5.398
I Rh La
5 1 4
Cartesian
0.130 -2.911 -4.241
3.333 -2.095 -1.232
4.612 -3.184 -5.317
4.121 -4.796 2.232
5.401 -5.885 -1.853
-1.098 -1.830 0.144
1.961 -1.722 -6.946
6.773 -6.259 3.861
7.448 -4.793 -4.156
1.286 -3.187 1.071
```

---

[11]
CsSrEu: relaxed, GGA-PBE.

Computed properties:
Its energy relative to the elements is 182 meV/atom.

```
CsSrEu
1.0
-2.610 0.110 3.409
-1.476 -3.907 -1.003
9.444 -2.389 4.603
Eu Cs Sr
1 1 1
Cartesian
0.228 -3.213 2.984
4.897 -2.836 3.841
0.234 -0.135 0.183
```

---

[12]
LiDyPd: relaxed, GGA-PBE.

Computed properties:
Its energy relative to the elements is -487 meV/atom.

```
LiDyPd
1.0
-0.687 2.530 -2.554
-1.284 -3.118 -2.744
-2.885 1.890 2.647
Pd Li Dy
1 1 1
Cartesian
-2.466 0.642 0.425
-0.115 0.423 -0.427
-2.275 0.237 -2.649
```

---

[13]
PuZrMn4: relaxed, GGA-PBE.

Computed properties:
Its energy relative to the elements is 61 meV/atom.

```
PuZrMn4
1.0
4.988 0.000 0.000
2.494 4.320 0.000
2.494 1.440 4.073
Mn Zr Pu
4 1 1
Cartesian
3.738 3.602 2.547
6.238 3.602 2.547
4.988 1.436 2.547
4.988 2.880 0.505
0.000 0.000 0.000
2.494 1.440 1.018
```

---

[14]
LaSe3I: relaxed, GGA-PBE.

Computed properties:
The value obtained for the uncorrected formation energy is -1.02 eV per formula unit.

```
LaSe3I
1.0
5.899 0.000 0.000
0.000 5.899 0.000
0.000 0.000 5.899
Se I La
3 1 1
Cartesian
2.950 0.000 0.000
0.000 0.000 2.950
0.000 2.950 0.000
2.950 2.950 2.950
0.000 0.000 0.000
```

---

[15]
HfW3N: relaxed, GGA-PBE.

Computed properties:
The value obtained for the uncorrected formation energy is -0.21 eV per formula unit.

```
HfW3N
1.0
4.219 0.000 0.000
0.000 4.219 0.000
0.000 0.000 4.219
Hf W N
1 3 1
Cartesian
2.109 2.109 2.109
0.000 2.109 0.000
0.000 0.000 2.109
2.109 0.000 0.000
0.000 0.000 0.000
```

---

[16]
Y4Ho6Sc: relaxed, GGA-PBE.

Computed properties:
Its energy relative to the elements is 304 meV/atom.

```
Y4Ho6Sc
1.0
-3.327 3.999 3.886
0.574 -4.256 4.870
8.625 3.839 -1.991
Sc Ho Y
1 6 4
Cartesian
-1.376 -0.129 4.378
1.785 -0.397 5.364
-1.663 1.999 1.943
5.311 2.507 -0.029
4.298 2.412 3.195
0.349 2.642 5.002
0.287 -2.128 2.435
4.050 5.357 1.431
-0.310 0.786 7.825
6.550 0.069 2.061
1.454 0.951 2.215
```

---

[17]
PrTm2Cd4: relaxed, GGA-PBE.

Computed properties:
Its energy relative to the elements is -133 meV/atom.

```
PrTm2Cd4
1.0
5.050 0.000 -1.610
-0.513 5.024 -1.610
-0.207 -0.229 8.076
Cd Pr Tm
4 1 2
Cartesian
3.040 0.570 0.809
1.290 4.225 4.047
0.258 3.082 0.809
4.072 1.713 4.047
0.000 0.000 0.000
1.052 1.165 3.301
3.277 3.629 1.556
```

---

[18]
PmNd12Y7: relaxed, GGA-PBE.

Computed properties:
Its energy relative to the elements is 284 meV/atom.

```
PmNd12Y7
1.0
-2.123 2.601 5.986
8.386 -6.618 3.227
9.189 5.190 3.627
Pm Nd Y
1 12 7
Cartesian
0.000 0.000 0.000
6.644 -2.516 3.043
12.412 2.109 6.703
7.747 1.077 8.120
3.066 4.024 6.613
6.004 2.873 5.720
12.320 0.760 9.691
7.705 0.096 4.719
8.807 3.689 9.796
12.386 -2.852 6.227
3.039 -0.937 6.136
3.132 0.412 3.148
9.447 -1.701 7.119
5.633 5.072 8.493
14.447 -0.517 7.141
1.005 1.689 5.699
9.819 -3.899 4.346
9.433 3.337 6.311
6.018 -2.164 6.528
-1.061 1.300 2.993
```

---

[19]
Pu2ZnGaCu6: relaxed, GGA-PBE.

Computed properties:
Its energy relative to the elements is 309 meV/atom.

```
Pu2ZnGaCu6
1.0
6.459 0.000 0.000
0.000 6.459 0.000
3.230 3.229 4.567
Pu Zn Cu Ga
2 1 6 1
Cartesian
3.230 6.459 2.284
6.460 3.229 2.284
3.230 3.230 0.000
3.230 3.229 2.277
4.840 1.619 0.000
1.620 1.620 0.000
8.070 8.069 4.568
6.460 6.459 2.291
1.620 4.840 0.000
0.000 0.000 0.000
```

---

[20]
AcSmIr2: relaxed, GGA-PBE.

Computed properties:
Its energy relative to the elements is -496 meV/atom.

```
AcSmIr2
1.0
-0.787 -1.565 3.106
3.296 -1.353 0.153
2.302 6.017 3.617
Ir Sm Ac
2 1 1
Cartesian
0.527 1.377 0.828
1.775 4.640 2.789
1.254 -1.459 1.630
2.405 1.549 3.438
```

---

[21]
PmNiIr2: relaxed, GGA-PBE.

Computed properties:
Its energy relative to the elements is -160 meV/atom.

```
PmNiIr2
1.0
4.172 0.000 0.000
0.000 4.013 0.000
0.000 0.000 4.013
Ir Ni Pm
2 1 1
Cartesian
0.000 2.007 0.000
0.000 0.000 2.007
2.086 2.007 2.007
2.086 0.000 0.000
```

---

[22]
AlCd5: relaxed, GGA-PBE.

Computed properties:
Its energy relative to the elements is 93 meV/atom.

```
AlCd5
1.0
2.070 4.753 1.803
-3.788 -2.644 2.964
3.654 -2.512 2.429
Cd Al
5 1
Cartesian
-2.553 -1.782 1.997
1.944 1.031 3.405
-0.009 -1.435 3.792
1.395 3.203 1.215
-0.561 0.688 1.555
1.827 -1.256 1.214
```

---

[23]
NpGe3Rh3: relaxed, GGA-PBE.

Computed properties:
Its energy relative to the elements is -23 meV/atom.

```
NpGe3Rh3
1.0
-0.656 -5.032 4.372
-1.242 -4.224 -5.048
6.550 -1.305 -0.519
Rh Ge Np
6 6 2
Cartesian
-0.785 -3.370 -1.431
2.344 -3.820 -4.046
-1.113 -5.886 0.755
2.964 -1.708 -1.522
1.310 -2.842 2.056
4.584 -3.495 1.797
-0.638 -3.572 0.924
1.017 -2.438 -2.654
-1.259 -5.684 -1.600
2.783 -4.427 3.019
3.111 -1.910 0.833
4.291 -3.091 -2.914
2.326 -5.280 -0.598
0.000 0.000 0.000
```

---

[24]
CdAgSeBr2: relaxed, GGA-PBE.

Computed properties:
The value obtained for the uncorrected formation energy is 0.46 eV per formula unit.

```
CdAgSeBr2
1.0
5.503 0.000 0.000
0.000 5.503 0.000
0.000 0.000 5.301
Cd Br Ag Se
1 2 1 1
Cartesian
0.000 0.000 0.000
0.000 2.752 0.000
2.752 0.000 0.000
2.752 2.752 2.651
0.000 0.000 2.651
```

---

[25]
La3PmYTm: relaxed, GGA-PBE.

Computed properties:
Its energy relative to the elements is 32 meV/atom.

```
La3PmYTm
1.0
5.217 0.000 0.000
0.000 8.030 -1.100
0.000 -3.382 10.405
La Pm Tm Y
6 2 2 2
Cartesian
1.304 2.307 7.546
3.912 1.138 5.212
1.304 3.510 4.092
3.912 6.891 -0.509
3.912 2.341 1.758
1.304 -2.243 9.813
1.304 -0.007 2.924
3.912 4.655 6.380
3.912 5.777 2.965
1.304 -1.129 6.339
1.304 4.631 0.630
3.912 0.016 8.674
```

---

no.,size of the total moment (μB/atom),total energy (eV for the cell shown)
1,0.0000,-22.25
2,0.6648,-63.28
3,0.0000,-113.23
4,0.0001,-52.10
5,0.0000,-10.02
6,0.0000,-45.95
7,0.0000,-20.44
8,0.0007,-22.26
9,0.0008,-29.54
10,0.0000,-47.46
11,2.4933,-12.26
12,0.0000,-13.17
13,0.8781,-59.19
14,0.8000,-17.95
15,0.0000,-57.35
16,0.0000,-56.31
17,0.0000,-18.31
18,0.0000,-101.52
19,1.1435,-54.45
20,0.0656,-28.53
21,0.0001,-28.90
22,0.0000,-7.76
23,0.6739,-98.01
24,0.1928,-10.14
25,0.0000,-60.56